Computed, not measured: a relaxed SrPmNbN3 crystal at the GGA-PBE level of DFT.

Summary:
E_form (uncorrected): -1.007 eV/atom
SG: No. 12
DFT total energy: -7.92 eV/atom

Cell and atoms, written as POSCAR:
```
SrPmNbN3
1.0
6.9276 -1.9759 0.0000
6.9276 1.9759 0.0000
-1.8218 0.0000 7.0674
Sr Pm Nb N
2 2 2 6
direct
0.1619 0.1619 0.0854
0.8381 0.8381 0.9146
0.1507 0.1507 0.5685
0.8493 0.8493 0.4315
0.5002 0.5002 0.2294
0.4998 0.4998 0.7706
0.0044 0.0044 0.2909
0.3395 0.3395 0.6532
0.3510 0.3510 0.1909
0.6490 0.6490 0.8091
0.6605 0.6605 0.3468
0.9956 0.9956 0.7091
```